Entry 1:
Material: V3Fe3Co
Method: DFT, PBE
State: optimized geometry

Values from the calculation:
**Energy relative to the elements**: 0.0639 eV/atom
**Final energy**: -118.80 eV for the cell shown
**Space-group type**: Cmmm (65)

a b c (Å): 5.700 5.700 5.189
angles (deg): 90.00 90.00 91.99
Fractional positions:
V (0.167, 0.833, 0.000)
V (0.192, 0.192, 0.500)
V (0.278, 0.722, 0.500)
V (0.722, 0.278, 0.500)
V (0.808, 0.808, 0.500)
V (0.833, 0.167, 0.000)
Fe (0.000, 0.500, 0.244)
Fe (0.000, 0.500, 0.756)
Fe (0.500, 0.000, 0.244)
Fe (0.500, 0.000, 0.756)
Fe (0.500, 0.500, 0.228)
Fe (0.500, 0.500, 0.772)
Co (0.239, 0.239, 0.000)
Co (0.761, 0.761, 0.000)

***

Entry 2:
Material: AsBr2OF
Method: DFT, PBE
State: optimized geometry

Values from the calculation:
**Final energy**: -13.15 eV for the cell shown
**Space-group type**: P4/mmm (123)
**Formation energy without anion corrections**: 1.67 eV/f.u.

a b c (Å): 4.895 4.895 4.081
angles (deg): 90.00 90.00 90.00
Fractional positions:
As (0.000, 0.000, 0.000)
Br (0.000, 0.500, 0.500)
Br (0.500, 0.000, 0.500)
O (0.000, 0.000, 0.500)
F (0.500, 0.500, 0.000)

***

Entry 3:
Material: HfBe17Au
Method: DFT, PBE
State: optimized geometry

Values from the calculation:
**Energy relative to the elements**: -0.1114 eV/atom
**Final energy**: -78.69 eV for the cell shown
**Space-group type**: R3m (160)

a b c (Å): 5.629 5.629 5.629
angles (deg): 82.77 82.77 82.77
Fractional positions:
Hf (0.000, 0.000, 0.000)
Be (0.002, 0.002, 0.496)
Be (0.002, 0.496, 0.002)
Be (0.150, 0.675, 0.675)
Be (0.315, 0.315, 0.808)
Be (0.315, 0.808, 0.315)
Be (0.366, 0.656, 0.957)
Be (0.366, 0.957, 0.656)
Be (0.496, 0.002, 0.002)
Be (0.559, 0.559, 0.559)
Be (0.656, 0.366, 0.957)
Be (0.656, 0.957, 0.366)
Be (0.675, 0.150, 0.675)
Be (0.675, 0.675, 0.150)
Be (0.757, 0.757, 0.757)
Be (0.808, 0.315, 0.315)
Be (0.957, 0.366, 0.656)
Be (0.957, 0.656, 0.366)
Au (0.301, 0.301, 0.301)

***

Entry 4:
Material: TiV3Os
Method: DFT, PBE
State: optimized geometry

Values from the calculation:
**Energy relative to the elements**: 1.3715 eV/atom
**Final energy**: -39.62 eV for the cell shown
**Space-group type**: Pm-3m (221)

a b c (Å): 4.274 4.274 4.274
angles (deg): 90.00 90.00 90.00
Fractional positions:
Ti (0.000, 0.000, 0.000)
V (0.000, 0.000, 0.500)
V (0.000, 0.500, 0.000)
V (0.500, 0.000, 0.000)
Os (0.500, 0.500, 0.500)

***

Entry 5:
Material: PmPu4Pt4
Method: DFT, PBE
State: optimized geometry

Values from the calculation:
**Energy relative to the elements**: -0.6381 eV/atom
**Final energy**: -91.98 eV for the cell shown
**Space-group type**: I4/m (87)

a b c (Å): 7.092 7.092 7.092
angles (deg): 99.37 99.37 132.41
Fractional positions:
Pm (0.000, 0.000, 0.000)
Pu (0.194, 0.602, 0.797)
Pu (0.398, 0.194, 0.592)
Pu (0.602, 0.806, 0.408)
Pu (0.806, 0.398, 0.203)
Pt (0.105, 0.301, 0.406)
Pt (0.301, 0.895, 0.196)
Pt (0.699, 0.105, 0.804)
Pt (0.895, 0.699, 0.594)

***

Entry 6:
Material: Sm2ErCo
Method: DFT, PBE
State: optimized geometry

Values from the calculation:
**Energy relative to the elements**: 0.2224 eV/atom
**Final energy**: -20.22 eV for the cell shown
**Space-group type**: R-3m (166)

a b c (Å): 10.599 10.599 10.599
angles (deg): 19.60 19.60 19.60
Fractional positions:
Sm (0.112, 0.112, 0.112)
Sm (0.888, 0.888, 0.888)
Er (0.000, 0.000, 0.000)
Co (0.500, 0.500, 0.500)

***

Entry 7:
Material: Ru3OF
Method: DFT, PBE
State: optimized geometry

Values from the calculation:
**Final energy**: -31.78 eV for the cell shown
**Space-group type**: Pm-3m (221)
**Formation energy without anion corrections**: 2.88 eV/f.u.

a b c (Å): 4.061 4.061 4.061
angles (deg): 90.00 90.00 90.00
Fractional positions:
Ru (0.000, 0.000, 0.500)
Ru (0.000, 0.500, 0.000)
Ru (0.500, 0.000, 0.000)
O (0.000, 0.000, 0.000)
F (0.500, 0.500, 0.500)

***

Entry 8:
Material: NaHgRu2O8
Method: DFT, PBE
State: optimized geometry

Values from the calculation:
**Final energy**: -69.15 eV for the cell shown
**Space-group type**: C2/m (12)
**Formation energy without anion corrections**: -9.31 eV/f.u.

a b c (Å): 6.324 6.324 6.003
angles (deg): 105.97 105.97 59.00
Fractional positions:
Na (0.000, 0.000, 0.000)
Hg (0.500, 0.500, 0.500)
Ru (0.201, 0.201, 0.687)
Ru (0.799, 0.799, 0.313)
O (0.097, 0.636, 0.228)
O (0.147, 0.147, 0.377)
O (0.364, 0.903, 0.772)
O (0.369, 0.369, 0.770)
O (0.631, 0.631, 0.230)
O (0.636, 0.097, 0.228)
O (0.853, 0.853, 0.623)
O (0.903, 0.364, 0.772)

***

Entry 9:
Material: PmPr2Cd4
Method: DFT, PBE
State: optimized geometry

Values from the calculation:
**Energy relative to the elements**: 0.2352 eV/atom
**Final energy**: -16.32 eV for the cell shown
**Space-group type**: I4/mmm (139)

a b c (Å): 9.027 9.027 9.027
angles (deg): 143.02 143.02 53.30
Fractional positions:
Pm (0.000, 0.000, 0.000)
Pr (0.394, 0.394, 0.000)
Pr (0.606, 0.606, 0.000)
Cd (0.000, 0.500, 0.500)
Cd (0.192, 0.192, 0.000)
Cd (0.500, 0.000, 0.500)
Cd (0.808, 0.808, 0.000)

***

Entry 10:
Material: CaPrSe2
Method: DFT, PBE
State: optimized geometry

Values from the calculation:
**Final energy**: -21.38 eV for the cell shown
**Space-group type**: C2/m (12)
**Formation energy without anion corrections**: -7.63 eV/f.u.

a b c (Å): 4.198 4.198 7.445
angles (deg): 106.31 106.31 59.99
Fractional positions:
Ca (0.000, 0.000, 0.000)
Pr (0.500, 0.500, 0.500)
Se (0.253, 0.253, 0.759)
Se (0.747, 0.747, 0.241)